(1)
Rb3MnAu after structural relaxation, computed with PBE-GGA.

Output
Distance to the lowest polymorph of the same formula   0 kJ/mol of formula units
M_tot   5.4 μB/cell
Uncorrected energy   -12.92 eV for the cell shown

a b c (Å): 6.6406 6.6406 6.6406
angles (deg): 90.00 90.00 90.00
Last column: nearest neighbours and their distance in Å.
Space group Pm-3m (No. 221)
Unique sites:
Rb 0.0000 0.0000 0.5000 x3  2 Au 3.32
Mn 0.5000 0.5000 0.5000 x1  12 Rb 4.70
Au 0.0000 0.0000 0.0000 x1  6 Rb 3.32

---

(2)
NaLiCl2 after structural relaxation, computed with PBE-GGA.

Output
Uncorrected formation energy   -1.7731 eV per atom
M_tot   0.0 μB/cell
Uncorrected energy   -28.04 eV for the cell shown

a b c (Å): 4.0734 7.1773 7.3161
angles (deg): 99.44 90.04 106.47
Last column: nearest neighbours and their distance in Å.
Space group P1 (No. 1)
Unique sites:
Na 0.0000 0.0000 0.0000 x1  4 Cl 2.69-2.70
Na 0.2391 0.4772 0.7021 x1  4 Cl 2.69-2.70
Li 0.4840 0.9679 0.4713 x1  4 Cl 2.38-2.43
Li 0.7430 0.4888 0.2229 x1  4 Cl 2.40-2.42
Cl 0.1971 0.3966 0.0506 x1  2 Li 2.42, 2 Na 2.69-2.70
Cl 0.4372 0.8749 0.7701 x1  1 Li 2.38
Cl 0.6601 0.3201 0.4856 x1  2 Li 2.41, 2 Na 2.69
Cl 0.9208 0.8414 0.3125 x1  3 Li 2.40-2.43

---

(3)
LaCoP2 after structural relaxation, computed with PBE-GGA.

Output
Distance to the lowest polymorph of the same formula   280 kJ/mol of formula units
M_tot   3.3 μB/cell
Uncorrected energy   -47.28 eV for the cell shown

a b c (Å): 5.7067 6.6657 3.9161
angles (deg): 90.00 90.00 90.00
Last column: nearest neighbours and their distance in Å.
Space group Cmmm (No. 65)
Unique sites:
La 0.0000 0.0000 0.0000 x2  2 Co 2.85, 8 P 2.94
Co 0.0000 0.5000 0.0000 x2  2 La 2.85, 8 P 2.94
P 0.2500 0.2500 0.5000 x4  2 P 2.85, 4 La 2.94, 4 Co 2.94